1.
Density functional theory data (PBE-GGA) for a relaxed structure of TiNb2Al3.

POSCAR file:
```
TiNb2Al3
1.0
2.779 0.000 0.000
0.000 14.198 0.000
-0.868 0.000 5.185
Ti Nb Al
2 4 6
Direct
0.000 0.000 0.000
0.000 0.500 0.500
0.188 0.177 0.745
0.188 0.323 0.245
0.812 0.677 0.755
0.812 0.823 0.255
0.000 0.000 0.500
0.000 0.500 0.000
0.367 0.650 0.252
0.367 0.850 0.752
0.633 0.150 0.248
0.633 0.350 0.748
```

Output
Distance to the lowest polymorph of the same formula = 0.044 eV per atom
Density of states at the Fermi level = 8.45 states/eV/cell
Formation energy from the elements = -138 meV/atom

2.
Density functional theory data (PBE-GGA) for a relaxed structure of Ti3NbAl.

POSCAR file:
```
Ti3NbAl
1.0
4.763 0.000 0.000
0.000 4.763 0.000
0.000 0.000 4.763
Ti Nb Al
3 1 1
Direct
0.000 0.000 0.500
0.000 0.500 0.000
0.500 0.000 0.000
0.000 0.000 0.000
0.500 0.500 0.500
```

Output
Distance to the lowest polymorph of the same formula = 1.042 eV per atom
Density of states at the Fermi level = 7.77 states/eV/cell
Formation energy from the elements = 931 meV/atom

3.
Density functional theory data (PBE-GGA) for a relaxed structure of Ti4NbAl3.

POSCAR file:
```
Ti4NbAl3
1.0
4.360 0.000 0.000
0.000 4.360 0.000
0.000 0.000 6.949
Ti Nb Al
4 1 3
Direct
0.000 0.500 0.247
0.000 0.500 0.753
0.500 0.000 0.247
0.500 0.000 0.753
0.000 0.000 0.000
0.000 0.000 0.500
0.500 0.500 0.000
0.500 0.500 0.500
```

Output
Distance to the lowest polymorph of the same formula = 0.000 eV per atom
Density of states at the Fermi level = 4.28 states/eV/cell
Formation energy from the elements = -331 meV/atom

4.
Density functional theory data (PBE-GGA) for a relaxed structure of Ti3NbAl3.

POSCAR file:
```
Ti3NbAl3
1.0
7.623 0.000 0.000
-3.811 6.602 0.000
0.000 0.000 4.578
Ti Nb Al
6 2 6
Direct
0.023 0.234 0.250
0.211 0.977 0.250
0.234 0.211 0.750
0.766 0.789 0.250
0.789 0.023 0.750
0.977 0.766 0.750
0.333 0.667 0.250
0.667 0.333 0.750
0.085 0.467 0.750
0.382 0.915 0.750
0.467 0.382 0.250
0.533 0.618 0.750
0.618 0.085 0.250
0.915 0.533 0.250
```

Output
Density of states at the Fermi level = 6.15 states/eV/cell
Formation energy from the elements = -317 meV/atom

5.
Density functional theory data (PBE-GGA) for a relaxed structure of Ti4Nb2Al.

POSCAR file:
```
Ti4Nb2Al
1.0
2.731 0.000 0.000
0.000 4.663 0.000
0.000 0.000 18.896
Ti Nb Al
8 4 2
Direct
0.000 0.000 0.068
0.000 0.000 0.932
0.000 0.500 0.142
0.000 0.500 0.858
0.500 0.000 0.358
0.500 0.000 0.642
0.500 0.500 0.432
0.500 0.500 0.568
0.000 0.500 0.291
0.000 0.500 0.709
0.500 0.000 0.209
0.500 0.000 0.791
0.000 0.000 0.500
0.500 0.500 0.000
```

Output
Density of states at the Fermi level = 18.84 states/eV/cell
Formation energy from the elements = -22 meV/atom

6.
Density functional theory data (PBE-GGA) for a relaxed structure of Ti2NbAl2.

POSCAR file:
```
Ti2NbAl2
1.0
-2.366 3.608 5.410
2.366 -3.608 5.410
2.366 3.608 -5.410
Ti Nb Al
4 2 4
Direct
0.248 0.178 0.070
0.392 0.822 0.570
0.608 0.178 0.430
0.752 0.822 0.930
0.062 0.312 0.750
0.938 0.688 0.250
0.205 0.955 0.250
0.340 0.590 0.750
0.660 0.410 0.250
0.795 0.045 0.750
```

Output
Distance to the lowest polymorph of the same formula = 0.288 eV per atom
Density of states at the Fermi level = 8.06 states/eV/cell
Formation energy from the elements = 33 meV/atom

7.
Density functional theory data (PBE-GGA) for a relaxed structure of Ti4NbAl2.

POSCAR file:
```
Ti4NbAl2
1.0
7.067 0.000 0.000
0.000 5.293 0.000
-3.205 0.000 6.353
Ti Nb Al
8 2 4
Direct
0.036 0.250 0.049
0.101 0.750 0.372
0.415 0.001 0.272
0.415 0.499 0.272
0.585 0.501 0.728
0.585 0.999 0.728
0.899 0.250 0.628
0.964 0.750 0.951
0.229 0.750 0.787
0.771 0.250 0.213
0.207 0.250 0.490
0.346 0.250 0.910
0.654 0.750 0.090
0.793 0.750 0.510
```

Output
Distance to the lowest polymorph of the same formula = 0.000 eV per atom
Density of states at the Fermi level = 16.25 states/eV/cell
Formation energy from the elements = -95 meV/atom

8.
Density functional theory data (PBE-GGA) for a relaxed structure of Ti4NbAl4.

POSCAR file:
```
Ti4NbAl4
1.0
5.709 0.000 0.000
0.000 5.709 0.000
0.000 0.000 9.759
Ti Nb Al
8 2 8
Direct
0.032 0.250 0.188
0.250 0.032 0.688
0.250 0.468 0.688
0.468 0.250 0.188
0.532 0.750 0.812
0.750 0.532 0.312
0.750 0.968 0.312
0.968 0.750 0.812
0.250 0.750 0.250
0.750 0.250 0.750
0.012 0.250 0.480
0.250 0.012 0.980
0.250 0.488 0.980
0.488 0.250 0.480
0.512 0.750 0.520
0.750 0.512 0.020
0.750 0.988 0.020
0.988 0.750 0.520
```

Output
Density of states at the Fermi level = 18.19 states/eV/cell
Formation energy from the elements = 100 meV/atom